Entry 1:
Below is a relaxed structure of K2Nd2GdMg3Cd, with properties calculated at the GGA-PBE level.

Cell: 4.8783 8.3149 8.3149 Å, 119.58 90.00 90.00°
Sites, in units of the cell vectors:
K 0.0000 0.1667 0.8333
K 0.0000 0.8333 0.1667
Nd 0.5000 0.1266 0.4976
Nd 0.5000 0.4976 0.1266
Gd 0.5000 0.8760 0.8760
Mg 0.0000 0.2897 0.2897
Mg 0.0000 0.5046 0.7189
Mg 0.0000 0.7189 0.5046
Cd 0.5000 0.5087 0.5087

* E: -2.08 eV/atom

Entry 2:
Below is a relaxed structure of TbPuFe, with properties calculated at the GGA-PBE level.

Cell: 4.4647 4.4647 4.4647 Å, 60.00 60.00 60.00°
Sites, in units of the cell vectors:
Tb 0.0000 0.0000 0.0000
Pu 0.5000 0.5000 0.5000
Fe 0.7500 0.7500 0.7500

* excess energy over the best structure of this formula in the dataset: 0.0 kJ/mol of formula units

Entry 3:
Below is a relaxed structure of Zr4Cd2PC, with properties calculated at the GGA-PBE level.

Cell: 3.4667 3.4667 15.4278 Å, 90.00 90.00 120.00°
Sites, in units of the cell vectors:
Zr 0.3333 0.6667 0.0786
Zr 0.3333 0.6667 0.4007
Zr 0.6667 0.3333 0.5993
Zr 0.6667 0.3333 0.9214
Cd 0.3333 0.6667 0.7587
Cd 0.6667 0.3333 0.2413
P 0.0000 0.0000 0.5000
C 0.0000 0.0000 0.0000

* E: -6.92 eV/atom

Entry 4:
Below is a relaxed structure of GdEr2ScIn2, with properties calculated at the GGA-PBE level.

Cell: 5.2718 5.2718 6.6398 Å, 90.00 90.00 120.00°
Sites, in units of the cell vectors:
Gd 0.0000 0.0000 0.0000
Er 0.6667 0.3333 0.2596
Er 0.6667 0.3333 0.7404
Sc 0.3333 0.6667 0.5000
In 0.0000 0.0000 0.5000
In 0.3333 0.6667 0.0000

* E: -4.61 eV/atom

Entry 5:
Below is a relaxed structure of Ho2Ga2NiPd3, with properties calculated at the GGA-PBE level.

Cell: 4.3405 4.3405 8.9557 Å, 90.00 90.00 120.00°
Sites, in units of the cell vectors:
Ho 0.0000 0.0000 0.0000
Ho 0.3333 0.6667 0.5097
Ga 0.6667 0.3333 0.2540
Ga 0.6667 0.3333 0.7669
Ni 0.3333 0.6667 0.8286
Pd 0.0000 0.0000 0.3372
Pd 0.0000 0.0000 0.6778
Pd 0.3333 0.6667 0.1675

* E: -5.34 eV/atom

Entry 6:
Below is a relaxed structure of AlGaAu, with properties calculated at the GGA-PBE level.

Cell: 4.3178 4.3178 6.1142 Å, 90.00 90.00 90.00°
Sites, in units of the cell vectors:
Al 0.0000 0.0000 0.2500
Al 0.0000 0.0000 0.7500
Ga 0.5000 0.5000 0.2500
Ga 0.5000 0.5000 0.7500
Au 0.0000 0.5000 0.0000
Au 0.5000 0.0000 0.5000

* E: -3.66 eV/atom

Entry 7:
Below is a relaxed structure of BaZnIr2, with properties calculated at the GGA-PBE level.

Cell: 4.8585 4.8585 4.8585 Å, 60.00 60.00 60.00°
Sites, in units of the cell vectors:
Ba 0.0000 0.0000 0.0000
Zn 0.2500 0.2500 0.2500
Ir 0.5000 0.5000 0.5000
Ir 0.7500 0.7500 0.7500

* E: -4.55 eV/atom

Entry 8:
Below is a relaxed structure of KNbAs, with properties calculated at the GGA-PBE level.

Cell: 4.8045 4.8045 4.8045 Å, 60.00 60.00 60.00°
Sites, in units of the cell vectors:
K 0.0000 0.0000 0.0000
Nb 0.5000 0.5000 0.5000
As 0.2500 0.2500 0.2500

* excess energy over the best structure of this formula in the dataset: 0.0 kJ/mol of formula units

Entry 9:
Below is a relaxed structure of UHgIr, with properties calculated at the GGA-PBE level.

Cell: 4.6673 4.6673 4.6673 Å, 60.00 60.00 60.00°
Sites, in units of the cell vectors:
U 0.0000 0.0000 0.0000
Hg 0.5000 0.5000 0.5000
Ir 0.2500 0.2500 0.2500

* excess energy over the best structure of this formula in the dataset: 0.0 kJ/mol of formula units

Entry 10:
Below is a relaxed structure of Fe3N, with properties calculated at the GGA-PBE level.

Cell: 4.6154 4.6154 4.6154 Å, 139.37 139.37 58.81°
Sites, in units of the cell vectors:
Fe 0.0000 0.0000 0.0000
Fe 0.2500 0.7500 0.5000
Fe 0.7500 0.2500 0.5000
N 0.5000 0.5000 0.0000

* E: -7.50 eV/atom

Entry 11:
Below is a relaxed structure of BeCuReOs, with properties calculated at the GGA-PBE level.

Cell: 4.0996 4.0996 4.0996 Å, 60.00 60.00 60.00°
Sites, in units of the cell vectors:
Be 0.0000 0.0000 0.0000
Cu 0.5000 0.5000 0.5000
Re 0.7500 0.7500 0.7500
Os 0.2500 0.2500 0.2500

* excess energy over the best structure of this formula in the dataset: 78.9 kJ/mol of formula units

Entry 12:
Below is a relaxed structure of InRe3Te5, with properties calculated at the GGA-PBE level.

Cell: 5.9323 5.9323 7.9890 Å, 90.00 90.00 120.00°
Sites, in units of the cell vectors:
In 0.0000 0.0000 0.0000
Re 0.0000 0.5000 0.5000
Re 0.5000 0.0000 0.5000
Re 0.5000 0.5000 0.5000
Te 0.0000 0.0000 0.5000
Te 0.3333 0.6667 0.2367
Te 0.3333 0.6667 0.7633
Te 0.6667 0.3333 0.2367
Te 0.6667 0.3333 0.7633

* E: -5.77 eV/atom

Entry 13:
Below is a relaxed structure of YNiB2, with properties calculated at the GGA-PBE level.

Cell: 4.1274 4.1274 4.1274 Å, 60.00 60.00 60.00°
Sites, in units of the cell vectors:
Y 0.0000 0.0000 0.0000
Ni 0.7500 0.7500 0.7500
B 0.2500 0.2500 0.2500
B 0.5000 0.5000 0.5000

* E: -5.62 eV/atom

Entry 14:
Below is a relaxed structure of YTmC2Cl2, with properties calculated at the GGA-PBE level.

Cell: 3.8991 3.8991 10.6423 Å, 94.94 94.94 56.59°
Sites, in units of the cell vectors:
Y 0.0000 0.0000 0.0000
Tm 0.2915 0.2915 0.2769
C 0.5728 0.5728 0.1787
C 0.7196 0.7196 0.1051
Cl 0.3226 0.3226 0.8373
Cl 0.9640 0.9640 0.4352

* E: -6.76 eV/atom

Entry 15:
Below is a relaxed structure of Rb2PdI2F2, with properties calculated at the GGA-PBE level.

Cell: 7.1524 7.1524 4.1626 Å, 90.00 90.00 105.87°
Sites, in units of the cell vectors:
Rb 0.0000 0.5000 0.0000
Rb 0.5000 0.0000 0.0000
Pd 0.0000 0.0000 0.5000
I 0.3033 0.3033 0.5000
I 0.6967 0.6967 0.5000
F 0.1786 0.8214 0.5000
F 0.8214 0.1786 0.5000

* excess energy over the best structure of this formula in the dataset: 15.3 kJ/mol of formula units

Entry 16:
Below is a relaxed structure of AgBiO2, with properties calculated at the GGA-PBE level.

Cell: 5.9546 5.9546 5.9546 Å, 35.02 35.02 35.02°
Sites, in units of the cell vectors:
Ag 0.0000 0.0000 0.0000
Bi 0.5000 0.5000 0.5000
O 0.2418 0.2418 0.2418
O 0.7582 0.7582 0.7582

* E: -4.81 eV/atom

Entry 17:
Below is a relaxed structure of RbTl2AuBr6, with properties calculated at the GGA-PBE level.

Cell: 8.1083 8.1083 8.1083 Å, 60.00 60.00 60.00°
Sites, in units of the cell vectors:
Rb 0.0000 0.0000 0.0000
Tl 0.2500 0.2500 0.2500
Tl 0.7500 0.7500 0.7500
Au 0.5000 0.5000 0.5000
Br 0.2707 0.2707 0.7293
Br 0.2707 0.7293 0.2707
Br 0.2707 0.7293 0.7293
Br 0.7293 0.2707 0.2707
Br 0.7293 0.2707 0.7293
Br 0.7293 0.7293 0.2707

* E: -2.46 eV/atom

Entry 18:
Below is a relaxed structure of Sr3Tl2Tc2, with properties calculated at the GGA-PBE level.

Cell: 11.6076 11.6076 4.2249 Å, 90.00 90.00 159.26°
Sites, in units of the cell vectors:
Sr 0.0000 0.0000 0.0000
Sr 0.1702 0.8298 0.0000
Sr 0.8298 0.1702 0.0000
Tl 0.4070 0.5930 0.5000
Tl 0.5930 0.4070 0.5000
Tc 0.2746 0.7254 0.5000
Tc 0.7254 0.2746 0.5000

* E: -4.24 eV/atom

Entry 19:
Below is a relaxed structure of CuBiPF, with properties calculated at the GGA-PBE level.

Cell: 8.0619 16.8577 4.4425 Å, 90.00 90.00 90.00°
Sites, in units of the cell vectors:
Cu 0.0625 0.1227 0.0000
Cu 0.0679 0.6256 0.0000
Cu 0.4321 0.1256 0.0000
Cu 0.4375 0.6227 0.0000
Cu 0.5625 0.3773 0.0000
Cu 0.5679 0.8744 0.0000
Cu 0.9321 0.3744 0.0000
Cu 0.9375 0.8773 0.0000
Bi 0.2469 0.2621 0.5000
Bi 0.2478 0.4876 0.5000
Bi 0.2522 0.9876 0.5000
Bi 0.2531 0.7621 0.5000
Bi 0.7469 0.2379 0.5000
Bi 0.7478 0.0124 0.5000
Bi 0.7522 0.5124 0.5000
Bi 0.7531 0.7379 0.5000
P 0.0065 0.1250 0.5000
P 0.0118 0.6253 0.5000
P 0.4882 0.1253 0.5000
P 0.4935 0.6250 0.5000
P 0.5065 0.3750 0.5000
P 0.5118 0.8747 0.5000
P 0.9882 0.3747 0.5000
P 0.9935 0.8750 0.5000
F 0.2338 0.2843 0.0000
F 0.2377 0.4633 0.0000
F 0.2623 0.9633 0.0000
F 0.2662 0.7843 0.0000
F 0.7338 0.2157 0.0000
F 0.7377 0.0367 0.0000
F 0.7623 0.5367 0.0000
F 0.7662 0.7157 0.0000

* excess energy over the best structure of this formula in the dataset: 55.4 kJ/mol of formula units

Entry 20:
Below is a relaxed structure of BaB4Mo, with properties calculated at the GGA-PBE level.

Cell: 5.1708 5.1708 5.1708 Å, 144.62 112.65 78.44°
Sites, in units of the cell vectors:
Ba 0.0000 0.0000 0.0000
B 0.1125 0.7661 0.3464
B 0.4197 0.7661 0.6536
B 0.5803 0.2339 0.3464
B 0.8875 0.2339 0.6536
Mo 0.5000 0.5000 0.0000

* excess energy over the best structure of this formula in the dataset: 333.1 kJ/mol of formula units

Entry 21:
Below is a relaxed structure of LuAgPO, with properties calculated at the GGA-PBE level.

Cell: 3.8901 3.8901 8.7171 Å, 90.00 90.00 90.00°
Sites, in units of the cell vectors:
Lu 0.2500 0.2500 0.1180
Lu 0.7500 0.7500 0.8820
Ag 0.2500 0.7500 0.5000
Ag 0.7500 0.2500 0.5000
P 0.2500 0.2500 0.6965
P 0.7500 0.7500 0.3035
O 0.2500 0.7500 0.0000
O 0.7500 0.2500 0.0000

* excess energy over the best structure of this formula in the dataset: 0.0 kJ/mol of formula units

Entry 22:
Below is a relaxed structure of GdAlInNi, with properties calculated at the GGA-PBE level.

Cell: 5.6116 5.6116 7.1433 Å, 90.00 90.00 135.69°
Sites, in units of the cell vectors:
Gd 0.0668 0.9332 0.5000
Gd 0.9332 0.0668 0.0000
Al 0.3414 0.6586 0.2929
Al 0.6586 0.3414 0.7929
In 0.3620 0.6380 0.6880
In 0.6380 0.3620 0.1880
Ni 0.2151 0.7849 0.9854
Ni 0.7849 0.2151 0.4854

* excess energy over the best structure of this formula in the dataset: 8.0 kJ/mol of formula units

Entry 23:
Below is a relaxed structure of HfCoGeIr, with properties calculated at the GGA-PBE level.

Cell: 4.4113 4.4113 4.4113 Å, 60.00 60.00 60.00°
Sites, in units of the cell vectors:
Hf 0.0000 0.0000 0.0000
Co 0.7500 0.7500 0.7500
Ge 0.5000 0.5000 0.5000
Ir 0.2500 0.2500 0.2500

* excess energy over the best structure of this formula in the dataset: 0.0 kJ/mol of formula units

Entry 24:
Below is a relaxed structure of TbBiNO, with properties calculated at the GGA-PBE level.

Cell: 5.8424 8.4018 5.7811 Å, 90.00 90.00 90.00°
Sites, in units of the cell vectors:
Tb 0.0085 0.1200 0.0000
Tb 0.4915 0.1200 0.5000
Tb 0.5085 0.8800 0.0000
Tb 0.9915 0.8800 0.5000
Bi 0.0073 0.6278 0.0097
Bi 0.4927 0.6278 0.5097
Bi 0.5073 0.3722 0.0097
Bi 0.9927 0.3722 0.5097
N 0.0881 0.6197 0.5824
N 0.4119 0.6197 0.0824
N 0.5881 0.3803 0.5824
N 0.9119 0.3803 0.0824
O 0.2485 0.9909 0.2503
O 0.2515 0.9909 0.7503
O 0.7485 0.0091 0.2503
O 0.7515 0.0091 0.7503

* excess energy over the best structure of this formula in the dataset: 0.0 kJ/mol of formula units

Entry 25:
Below is a relaxed structure of LaTb2Sn4Pb3, with properties calculated at the GGA-PBE level.

Cell: 13.0271 13.0271 4.7371 Å, 90.00 90.00 159.59°
Sites, in units of the cell vectors:
La 0.0000 0.0000 0.0000
Tb 0.1904 0.8096 0.0000
Tb 0.8096 0.1904 0.0000
Sn 0.2911 0.7089 0.5000
Sn 0.4000 0.6000 0.0000
Sn 0.6000 0.4000 0.0000
Sn 0.7089 0.2911 0.5000
Pb 0.1013 0.8987 0.5000
Pb 0.5000 0.5000 0.5000
Pb 0.8987 0.1013 0.5000

* excess energy over the best structure of this formula in the dataset: 0.8 kJ/mol of formula units